Crystalline Tm8Ga2Tc at its relaxed geometry, computed with GGA-PBE.

Computed properties:
Calculated total energy, eV/atom: -4.908
Relative energy among the computed polymorphs, kJ/mol of formula units: 93
Theoretical density, g cm⁻³: 9.54
Total magnetic moment, μB per cell: 0.00

Cell: 8.446 8.446 8.446 Å, 146.67 122.12 68.46°
Element x y z (fractional)
Tm  0.117  0.345  0.773
Tm  0.126  0.126  0.000
Tm  0.319  0.000  0.319
Tm  0.428  0.655  0.773
Tm  0.572  0.345  0.227
Tm  0.681  0.000  0.681
Tm  0.874  0.874  0.000
Tm  0.883  0.655  0.227
Ga  0.308  0.808  0.500
Ga  0.692  0.192  0.500
Tc  0.000  0.500  0.500